VASP calculation (PBE-GGA) on crystalline Nd5Er5Sc at its relaxed geometry.

Its crystal system is monoclinic. The value obtained for the formation energy is 2.9 eV/f.u.

```
data_Nd5Er5Sc
_space_group_name_H-M_alt 'C 1 2/m 1'
_space_group_IT_number 12
_space_group_name_Hall '-C 2y'
_cell_length_a 18.841
_cell_length_b 5.913
_cell_length_c 7.009
_cell_angle_alpha 90.00
_cell_angle_beta 111.73
_cell_angle_gamma 90.00
loop_
_atom_site_label
_atom_site_fract_x
_atom_site_fract_y
_atom_site_fract_z
Nd1 0.000 0.000 0.000
Nd2 0.174 0.500 0.418
Nd3 0.174 0.500 0.931
Er1 0.000 0.500 0.500
Er2 0.122 0.000 0.623
Er3 0.169 0.000 0.170
Sc1 0.000 0.500 0.000
```